No. 1
Cs2BaTa6Br15O3: relaxed, GGA-PBE.

Summary:
DFT total energy   -5.710 eV per atom
Crystal system   trigonal

Unit cell a=9.8748 b=9.8748 c=18.3770 alpha=90.00 beta=90.00 gamma=120.00
Space group P-31c (No. 163)
Symmetry-distinct sites (fractional):
Cs 0.3333 0.6667 0.0412 (multiplicity 4)
Ba 0.3333 0.6667 0.7500 (multiplicity 2)
Ta 0.0146 0.1832 0.8149 (multiplicity 12)
Br 0.0148 0.2187 0.0878 (multiplicity 12)
Br 0.0584 0.4457 0.8873 (multiplicity 12)
Br 0.2085 0.4169 0.2500 (multiplicity 6)
O 0.1705 0.3410 0.7500 (multiplicity 6)

No. 2
BaScHg2Br6: relaxed, GGA-PBE.

Summary:
DFT total energy   -3.100 eV per atom
Crystal system   cubic

Unit cell a=11.5196 b=11.5196 c=11.5196 alpha=90.00 beta=90.00 gamma=90.00
Space group Fm-3m (No. 225)
Symmetry-distinct sites (fractional):
Ba 0.0000 0.0000 0.0000 (multiplicity 4)
Sc 0.0000 0.0000 0.5000 (multiplicity 4)
Hg 0.2500 0.2500 0.2500 (multiplicity 8)
Br 0.0000 0.0000 0.2714 (multiplicity 24)

No. 3
Ba2IrBrN: relaxed, GGA-PBE.

Summary:
DFT total energy   -5.534 eV per atom
Crystal system   tetragonal

Unit cell a=5.8370 b=5.8370 c=3.8265 alpha=90.00 beta=90.00 gamma=90.00
Space group P4/mmm (No. 123)
Symmetry-distinct sites (fractional):
Ba 0.0000 0.5000 0.0000 (multiplicity 2)
Ir 0.0000 0.0000 0.5000 (multiplicity 1)
Br 0.5000 0.5000 0.5000 (multiplicity 1)
N 0.0000 0.0000 0.0000 (multiplicity 1)